CeTa2NbO8 | PBE | relaxed

abc: 4.967 4.968 6.373
angles: 89.56 89.56 90.20
Site moments in Bohr magnetons follow the coordinates.
Sites, in units of the cell vectors:
Ce: 0.000 0.000 0.500  0.58
Ta: 0.477 0.477 0.759  0.03
Ta: 0.523 0.523 0.241  0.03
Nb: 0.000 0.000 0.000  0.57
O: 0.236 0.796 0.222  0.00
O: 0.696 0.696 0.975  0.00
O: 0.796 0.235 0.222  0.00
O: 0.764 0.204 0.778  0.00
O: 0.304 0.304 0.025  0.00
O: 0.204 0.765 0.778  0.00
O: 0.675 0.675 0.509  0.00
O: 0.325 0.325 0.491  0.00

Values from the calculation:
The calculation puts the density at 7.63 g/cm³. The space-group type is C2/m, No. 12. The total energy is -112.5 eV for the cell shown. For the spin magnetization, the calculation gives 1.3 μB per cell. The calculation puts the raw formation energy at -2757.6 meV/atom.